ZnFe2Rh9: relaxed, PBE-GGA.

Cell lengths 3.8146, 3.8146, 11.4626 Å; angles 90.00, 90.00, 90.00 degrees
Last column: magnetic moment on the atom in μB.
Element x y z (fractional)
Zn (0.0000, 0.0000, 0.0000)  0.00
Fe (0.0000, 0.0000, 0.3318)  3.02
Fe (0.0000, 0.0000, 0.6682)  3.02
Rh (0.5000, 0.5000, 0.0000)  0.16
Rh (0.5000, 0.5000, 0.3352)  0.28
Rh (0.5000, 0.5000, 0.6648)  0.28
Rh (0.5000, 0.0000, 0.1705)  0.17
Rh (0.5000, 0.0000, 0.5000)  0.25
Rh (0.5000, 0.0000, 0.8295)  0.17
Rh (0.0000, 0.5000, 0.1705)  0.17
Rh (0.0000, 0.5000, 0.5000)  0.25
Rh (0.0000, 0.5000, 0.8295)  0.17

## Properties
- magnetization (μB per formula unit) = 7.88
- symmetry = P4/mmm (123)
- energy of formation from the pure elements (eV per formula unit) = -0.9

=====

ZnFeRh2: relaxed, PBE-GGA.

Cell lengths 8.7038, 8.7038, 8.7038 Å; angles 17.96, 17.96, 17.96 degrees
Last column: magnetic moment on the atom in μB.
Element x y z (fractional)
Fe (0.7493, 0.7493, 0.7493)  2.62
Rh (0.0032, 0.0032, 0.0032)  0.13
Rh (0.2486, 0.2486, 0.2486)  -0.43
Zn (0.4988, 0.4988, 0.4988)  -0.01

## Properties
- magnetization (μB per formula unit) = 2.31
- symmetry = R3m (160)
- energy of formation from the pure elements (eV per formula unit) = -0.1